Ce3PuPb: optimized geometry, PBE-GGA.

Structure (CIF):
```
data_Ce3PuPb
_cell_length_a 12.1986
_cell_length_b 7.0087
_cell_length_c 8.4041
_cell_angle_alpha 90.00
_cell_angle_beta 125.65
_cell_angle_gamma 90.00
_space_group_name_H-M_alt 'C 1 m 1'
_space_group_IT_number 8
_space_group_name_Hall 'C -2y'
loop_
_atom_site_label
_atom_site_fract_x
_atom_site_fract_y
_atom_site_fract_z
Ce1 0.0000 0.0000 0.0000
Ce2 0.0049 0.5000 0.4958
Ce3 0.2590 0.2468 0.4879
Ce4 0.2659 0.2491 0.0667
Pu1 0.2577 0.0000 0.2814
Pu2 0.4555 0.5000 0.2555
Pb1 0.0176 0.5000 0.0799
Pb2 0.0638 0.0000 0.6721
```

energy of formation from the pure elements = -3.1 kcal/mol of atoms
calculated density = 9.9 g/cm³
M_tot = 2.4 μB/f.u.